The following is a DFT calculation (PBE) of crystalline Pm2MnAs at its relaxed geometry.

Results
Raw total energy = -6.1007 eV per atom
Energy above the lowest structure with this stoichiometry = 0.43 eV per formula unit
Symmetry = Fm-3m

abc: 5.1426 5.1426 5.1426
angles: 60.00 60.00 60.00
Last column: magnetic moment on the atom in μB.
Positions (direct):
Mn: 0.0000 0.0000 0.0000  3.39
Pm: 0.2500 0.2500 0.2500  -0.29
As: 0.5000 0.5000 0.5000  0.07
Pm: 0.7500 0.7500 0.7500  -0.29